1.
Co2ReRh | PBE | optimized geometry

Cell: 5.9349 5.9349 5.9349 Å, 90.00 90.00 90.00°
Sites, in units of the cell vectors:
Co 0.0000 0.0000 0.0000
Co 0.0000 0.5000 0.5000
Co 0.2500 0.2500 0.2500
Co 0.2500 0.7500 0.7500
Co 0.5000 0.0000 0.5000
Co 0.5000 0.5000 0.0000
Co 0.7500 0.2500 0.7500
Co 0.7500 0.7500 0.2500
Re 0.2500 0.2500 0.7500
Re 0.2500 0.7500 0.2500
Re 0.7500 0.2500 0.2500
Re 0.7500 0.7500 0.7500
Rh 0.0000 0.0000 0.5000
Rh 0.0000 0.5000 0.0000
Rh 0.5000 0.0000 0.0000
Rh 0.5000 0.5000 0.5000

- E above lowest polymorph (meV/atom) = 298
- theoretical density (g cm⁻³) = 12.9
- space-group type = No. 216
- E_form (eV/atom) = 0.3234

2.
Ho2TiGe3Rh4 | PBE | optimized geometry

Cell: 4.0714 4.0714 10.7789 Å, 90.00 90.00 90.00°
Sites, in units of the cell vectors:
Ho 0.0000 0.5000 0.2392
Ho 0.5000 0.0000 0.7608
Ti 0.0000 0.0000 0.5000
Ge 0.0000 0.5000 0.8701
Ge 0.5000 0.0000 0.1299
Ge 0.5000 0.5000 0.5000
Rh 0.0000 0.0000 0.0000
Rh 0.0000 0.5000 0.6430
Rh 0.5000 0.0000 0.3570
Rh 0.5000 0.5000 0.0000

- theoretical density (g cm⁻³) = 9.4
- space-group type = No. 115
- E_form (eV/atom) = -0.8824

3.
SrCeNd2 | PBE | optimized geometry

Cell: 4.2370 4.2370 30.8035 Å, 90.00 90.00 120.00°
Sites, in units of the cell vectors:
Sr 0.0000 0.0000 0.0000
Sr 0.3333 0.6667 0.6667
Sr 0.6667 0.3333 0.3333
Ce 0.0000 0.0000 0.5000
Ce 0.3333 0.6667 0.1667
Ce 0.6667 0.3333 0.8333
Nd 0.0000 0.0000 0.1161
Nd 0.0000 0.0000 0.8839
Nd 0.3333 0.6667 0.5506
Nd 0.3333 0.6667 0.7828
Nd 0.6667 0.3333 0.2172
Nd 0.6667 0.3333 0.4494

- E above lowest polymorph (meV/atom) = 582
- theoretical density (g cm⁻³) = 5.4
- space-group type = No. 166
- E_form (eV/atom) = 0.6995

4.
KAl2Cl | PBE | optimized geometry

Cell: 3.5759 4.4376 15.4700 Å, 90.00 90.00 90.00°
Sites, in units of the cell vectors:
K 0.0000 0.0000 0.0000
K 0.5000 0.5000 0.5000
Al 0.0000 0.5000 0.2459
Al 0.0000 0.5000 0.7541
Al 0.5000 0.0000 0.2541
Al 0.5000 0.0000 0.7459
Cl 0.0000 0.0000 0.5000
Cl 0.5000 0.5000 0.0000

- E above lowest polymorph (meV/atom) = 114
- theoretical density (g cm⁻³) = 1.7
- space-group type = No. 71

5.
V2CrBi | PBE | optimized geometry

Cell: 3.8439 3.8439 19.4121 Å, 90.00 90.00 90.00°
Sites, in units of the cell vectors:
V 0.2377 0.2500 0.1250
V 0.2500 0.7377 0.3750
V 0.2500 0.7623 0.8750
V 0.2623 0.2500 0.6250
V 0.7377 0.7500 0.6250
V 0.7500 0.2377 0.8750
V 0.7500 0.2623 0.3750
V 0.7623 0.7500 0.1250
Cr 0.0000 0.0000 0.0000
Cr 0.0000 0.5000 0.2500
Cr 0.5000 0.0000 0.7500
Cr 0.5000 0.5000 0.5000
Bi 0.0000 0.0000 0.5000
Bi 0.0000 0.5000 0.7500
Bi 0.5000 0.0000 0.2500
Bi 0.5000 0.5000 0.0000

- theoretical density (g cm⁻³) = 8.4
- space-group type = No. 122
- E_form (eV/atom) = 0.8437

6.
TiInPS2 | PBE | optimized geometry

Cell: 4.9726 4.9726 4.9209 Å, 90.00 90.00 90.00°
Sites, in units of the cell vectors:
Ti 0.0000 0.0000 0.0000
In 0.5000 0.5000 0.5000
P 0.5000 0.5000 0.0000
S 0.0000 0.5000 0.5000
S 0.5000 0.0000 0.5000

- E above lowest polymorph (meV/atom) = 1027
- theoretical density (g cm⁻³) = 3.5
- space-group type = No. 123

7.
Ce2Dy2As5 | PBE | optimized geometry

Cell: 8.2226 8.2226 7.7587 Å, 90.00 90.00 56.03°
Sites, in units of the cell vectors:
Ce 0.1936 0.1936 0.0000
Ce 0.3064 0.3064 0.5000
Ce 0.6936 0.6936 0.5000
Ce 0.8064 0.8064 0.0000
Dy 0.1568 0.8432 0.6594
Dy 0.3432 0.6568 0.1594
Dy 0.6568 0.3432 0.8406
Dy 0.8432 0.1568 0.3406
As 0.0000 0.0000 0.0000
As 0.0139 0.7099 0.3503
As 0.2099 0.5139 0.8503
As 0.2901 0.9861 0.3503
As 0.4861 0.7901 0.8503
As 0.5000 0.5000 0.5000
As 0.5139 0.2099 0.1497
As 0.7099 0.0139 0.6497
As 0.7901 0.4861 0.1497
As 0.9861 0.2901 0.6497

- theoretical density (g cm⁻³) = 7.5
- space-group type = No. 64
- E_form (eV/atom) = -1.2107

8.
Tb3Pm3Er2 | PBE | optimized geometry

Cell: 7.1668 14.3245 6.1912 Å, 90.00 125.27 90.00°
Sites, in units of the cell vectors:
Tb 0.0000 0.0000 0.0000
Tb 0.0000 0.3743 0.5000
Tb 0.0000 0.6257 0.5000
Tb 0.5000 0.1257 0.5000
Tb 0.5000 0.5000 0.0000
Tb 0.5000 0.8743 0.5000
Pm 0.0000 0.1257 0.5000
Pm 0.0000 0.5000 0.0000
Pm 0.0000 0.8743 0.5000
Pm 0.5000 0.0000 0.0000
Pm 0.5000 0.3743 0.5000
Pm 0.5000 0.6257 0.5000
Er 0.0000 0.2497 0.0000
Er 0.0000 0.7503 0.0000
Er 0.5000 0.2503 0.0000
Er 0.5000 0.7497 0.0000

- E above lowest polymorph (meV/atom) = 0
- theoretical density (g cm⁻³) = 8.0
- space-group type = No. 12
- E_form (eV/atom) = 0.0172